1.
! NiSb3Pd3 (GGA-PBE, optimized geometry); values from VASP
! - Calculated density: 9.18 g cm⁻³
! - ΔE_f (raw): -0.332 eV/atom
! - Volume: 538 Å³/cell
&SYSTEM
  ibrav = 0, nat = 28, ntyp = 3
/
ATOMIC_SPECIES
Ni 58.69 Ni.upf
Sb 121.76 Sb.upf
Pd 106.42 Pd.upf
CELL_PARAMETERS angstrom
8.1419 -2.9925 0.0000
8.1419 2.9925 0.0000
0.0000 0.0000 11.0353
ATOMIC_POSITIONS crystal
Ni 0.0794 0.0794 0.0000
Ni 0.4206 0.4206 0.5000
Ni 0.5794 0.5794 0.5000
Ni 0.9206 0.9206 0.0000
Sb 0.0166 0.6286 0.1386
Sb 0.1286 0.5166 0.6386
Sb 0.2105 0.7895 0.8390
Sb 0.2895 0.7105 0.3390
Sb 0.3714 0.9834 0.1386
Sb 0.4834 0.8714 0.6386
Sb 0.5166 0.1286 0.3614
Sb 0.6286 0.0166 0.8614
Sb 0.7105 0.2895 0.6610
Sb 0.7895 0.2105 0.1610
Sb 0.8714 0.4834 0.3614
Sb 0.9834 0.3714 0.8614
Pd 0.0203 0.2920 0.6092
Pd 0.1445 0.8555 0.5996
Pd 0.2080 0.4797 0.8908
Pd 0.2920 0.0203 0.3908
Pd 0.3555 0.6445 0.0996
Pd 0.4797 0.2080 0.1092
Pd 0.5203 0.7920 0.8908
Pd 0.6445 0.3555 0.9004
Pd 0.7080 0.9797 0.6092
Pd 0.7920 0.5203 0.1092
Pd 0.8555 0.1445 0.4004
Pd 0.9797 0.7080 0.3908



2.
! NiSbPd (GGA-PBE, optimized geometry); values from VASP
! - Calculated density: 9.40 g cm⁻³
! - ΔE_f (raw): -0.220 eV/atom
! - Volume: 203 Å³/cell
&SYSTEM
  ibrav = 0, nat = 12, ntyp = 3
/
ATOMIC_SPECIES
Ni 58.69 Ni.upf
Sb 121.76 Sb.upf
Pd 106.42 Pd.upf
CELL_PARAMETERS angstrom
5.2433 0.0000 0.0000
0.0179 6.7195 0.0000
1.6807 3.1756 5.7508
ATOMIC_POSITIONS crystal
Ni 0.0000 0.0000 0.0000
Ni 0.0604 0.5500 0.2562
Ni 0.4202 0.3939 0.8195
Ni 0.6620 0.2308 0.1770
Sb 0.1411 0.1502 0.2556
Sb 0.3311 0.8037 0.7959
Sb 0.5175 0.4973 0.3588
Sb 0.9510 0.4035 0.7328
Pd 0.4704 0.9285 0.0863
Pd 0.7376 0.7883 0.4583
Pd 0.7485 0.1396 0.6002
Pd 0.8115 0.6844 0.9050



3.
! Ni3Sb2Pd (GGA-PBE, optimized geometry); values from VASP
! - Calculated density: 8.90 g cm⁻³
! - ΔE_f (raw): -0.135 eV/atom
! - Volume: 392 Å³/cell
&SYSTEM
  ibrav = 0, nat = 24, ntyp = 3
/
ATOMIC_SPECIES
Ni 58.69 Ni.upf
Sb 121.76 Sb.upf
Pd 106.42 Pd.upf
CELL_PARAMETERS angstrom
2.2247 -6.4990 0.0000
2.2247 6.4990 0.0000
-2.1797 0.0000 13.5716
ATOMIC_POSITIONS crystal
Ni 0.0214 0.5360 0.8027
Ni 0.0604 0.9396 0.7500
Ni 0.2145 0.5043 0.5594
Ni 0.4158 0.5842 0.7500
Ni 0.4640 0.9786 0.6973
Ni 0.4957 0.7855 0.9406
Ni 0.5043 0.2145 0.0594
Ni 0.5360 0.0214 0.3027
Ni 0.5842 0.4158 0.2500
Ni 0.7855 0.4957 0.4406
Ni 0.9396 0.0604 0.2500
Ni 0.9786 0.4640 0.1973
Sb 0.0201 0.1962 0.8703
Sb 0.1260 0.4876 0.3773
Sb 0.1962 0.0201 0.3703
Sb 0.4876 0.1260 0.8773
Sb 0.5124 0.8740 0.1227
Sb 0.8038 0.9799 0.6297
Sb 0.8740 0.5124 0.6227
Sb 0.9799 0.8038 0.1297
Pd 0.1313 0.2695 0.0671
Pd 0.2695 0.1313 0.5671
Pd 0.7305 0.8687 0.4329
Pd 0.8687 0.7305 0.9329



4.
! Ni6Sb2Pd (GGA-PBE, optimized geometry); values from VASP
! - Calculated density: 9.27 g cm⁻³
! - ΔE_f (raw): -0.061 eV/atom
! - Volume: 126 Å³/cell
&SYSTEM
  ibrav = 0, nat = 9, ntyp = 3
/
ATOMIC_SPECIES
Ni 58.69 Ni.upf
Sb 121.76 Sb.upf
Pd 106.42 Pd.upf
CELL_PARAMETERS angstrom
-2.0298 2.5764 6.0111
2.0298 -2.5764 6.0111
2.0298 2.5764 -6.0111
ATOMIC_POSITIONS crystal
Ni 0.1305 0.3957 0.7348
Ni 0.2110 0.2110 0.0000
Ni 0.3390 0.6043 0.7348
Ni 0.6610 0.3957 0.2652
Ni 0.7890 0.7890 0.0000
Ni 0.8695 0.6043 0.2652
Sb 0.3430 0.8430 0.5000
Sb 0.6570 0.1570 0.5000
Pd 0.0000 0.0000 0.0000



5.
! NiSb6Pd3 (GGA-PBE, optimized geometry); values from VASP
! - Calculated density: 8.42 g cm⁻³
! - ΔE_f (raw): -0.275 eV/atom
! - Volume: 437 Å³/cell
&SYSTEM
  ibrav = 0, nat = 20, ntyp = 3
/
ATOMIC_SPECIES
Ni 58.69 Ni.upf
Sb 121.76 Sb.upf
Pd 106.42 Pd.upf
CELL_PARAMETERS angstrom
7.1577 0.0000 0.0000
0.0000 6.4189 0.0000
-7.1008 0.0000 9.5189
ATOMIC_POSITIONS crystal
Ni 0.0000 0.0000 0.0000
Ni 0.0000 0.5000 0.5000
Sb 0.0741 0.0320 0.2419
Sb 0.0741 0.4680 0.7419
Sb 0.2482 0.1570 0.5880
Sb 0.2482 0.3430 0.0880
Sb 0.4038 0.6524 0.5887
Sb 0.4038 0.8476 0.0887
Sb 0.5962 0.1524 0.9113
Sb 0.5962 0.3476 0.4113
Sb 0.7518 0.6570 0.9120
Sb 0.7518 0.8430 0.4120
Sb 0.9259 0.5320 0.2581
Sb 0.9259 0.9680 0.7581
Pd 0.2907 0.6669 0.2614
Pd 0.2907 0.8331 0.7614
Pd 0.5000 0.0000 0.5000
Pd 0.5000 0.5000 0.0000
Pd 0.7093 0.1669 0.2386
Pd 0.7093 0.3331 0.7386



6.
! Ni2Sb2Pd (GGA-PBE, optimized geometry); values from VASP
! - Calculated density: 9.35 g cm⁻³
! - Relative energy among the computed polymorphs: 0.000 eV/atom
! - ΔE_f (raw): -0.142 eV/atom
! - Volume: 166 Å³/cell
&SYSTEM
  ibrav = 0, nat = 10, ntyp = 3
/
ATOMIC_SPECIES
Ni 58.69 Ni.upf
Sb 121.76 Sb.upf
Pd 106.42 Pd.upf
CELL_PARAMETERS angstrom
6.9743 0.0000 0.0000
0.0000 6.9743 0.0000
0.0000 0.0000 3.4141
ATOMIC_POSITIONS crystal
Ni 0.1268 0.3732 0.0000
Ni 0.3732 0.8732 0.0000
Ni 0.6268 0.1268 0.0000
Ni 0.8732 0.6268 0.0000
Sb 0.1733 0.6733 0.5000
Sb 0.3267 0.1733 0.5000
Sb 0.6733 0.8267 0.5000
Sb 0.8267 0.3267 0.5000
Pd 0.0000 0.0000 0.0000
Pd 0.5000 0.5000 0.0000



7.
! NiSb4Pd2 (GGA-PBE, optimized geometry); values from VASP
! - Calculated density: 8.42 g cm⁻³
! - Relative energy among the computed polymorphs: 0.000 eV/atom
! - ΔE_f (raw): -0.319 eV/atom
! - Volume: 299 Å³/cell
&SYSTEM
  ibrav = 0, nat = 14, ntyp = 3
/
ATOMIC_SPECIES
Ni 58.69 Ni.upf
Sb 121.76 Sb.upf
Pd 106.42 Pd.upf
CELL_PARAMETERS angstrom
12.6447 0.0000 0.0000
0.0000 4.0347 0.0000
-3.6158 0.0000 5.8627
ATOMIC_POSITIONS crystal
Ni 0.0000 0.0000 0.0000
Ni 0.5000 0.5000 0.0000
Sb 0.1055 0.0000 0.4452
Sb 0.1204 0.5000 0.9607
Sb 0.3796 0.0000 0.0393
Sb 0.3945 0.5000 0.5548
Sb 0.6055 0.5000 0.4452
Sb 0.6204 0.0000 0.9607
Sb 0.8796 0.5000 0.0393
Sb 0.8945 0.0000 0.5548
Pd 0.2402 0.5000 0.7239
Pd 0.2598 0.0000 0.2761
Pd 0.7402 0.0000 0.7239
Pd 0.7598 0.5000 0.2761



8.
! Ni2SbPd (GGA-PBE, optimized geometry); values from VASP
! - Calculated density: 9.14 g cm⁻³
! - ΔE_f (raw): 0.053 eV/atom
! - Volume: 251 Å³/cell
&SYSTEM
  ibrav = 0, nat = 16, ntyp = 3
/
ATOMIC_SPECIES
Ni 58.69 Ni.upf
Sb 121.76 Sb.upf
Pd 106.42 Pd.upf
CELL_PARAMETERS angstrom
6.9319 0.0000 0.0000
0.0000 6.9319 0.0000
0.0000 0.0000 5.2262
ATOMIC_POSITIONS crystal
Ni 0.2404 0.2500 0.1250
Ni 0.2500 0.7404 0.3750
Ni 0.2500 0.7596 0.8750
Ni 0.2596 0.2500 0.6250
Ni 0.7404 0.7500 0.6250
Ni 0.7500 0.2404 0.8750
Ni 0.7500 0.2596 0.3750
Ni 0.7596 0.7500 0.1250
Sb 0.0000 0.0000 0.0000
Sb 0.0000 0.5000 0.2500
Sb 0.5000 0.0000 0.7500
Sb 0.5000 0.5000 0.5000
Pd 0.0000 0.0000 0.5000
Pd 0.0000 0.5000 0.7500
Pd 0.5000 0.0000 0.2500
Pd 0.5000 0.5000 0.0000



> The lowest ΔE_f (raw) belongs to which entry?

NiSb3Pd3



> Number 4 is which compound?

Ni6Sb2Pd



> calculated density of number 4 (Ni6Sb2Pd)?

9.27 g cm⁻³